Entry 1:
# PaBeCo6B PBE optimized geometry
# Calculated total energy   -6.887 eV per atom
data_PaBeCo6B
_cell_length_a 5.242
_cell_length_b 7.970
_cell_length_c 10.390
_cell_angle_alpha 90.00
_cell_angle_beta 90.00
_cell_angle_gamma 90.00
_space_group_name_H-M_alt 'I m m a'
_space_group_IT_number 74
_space_group_name_Hall '-I 2b 2'
loop_
_atom_site_label
_atom_site_type_symbol
_atom_site_fract_x
_atom_site_fract_y
_atom_site_fract_z
Pa1 Pa 0.000 0.250 0.174
Be1 Be 0.250 0.250 0.750
Co1 Co 0.000 0.250 0.487
Co2 Co 0.000 0.250 0.923
Co3 Co 0.244 0.012 0.870
B1 B 0.000 0.000 0.500


Entry 2:
# PaBeCo3B PBE optimized geometry
# Calculated total energy   -7.172 eV per atom
data_PaBeCo3B
_cell_length_a 5.104
_cell_length_b 10.648
_cell_length_c 5.404
_cell_angle_alpha 90.00
_cell_angle_beta 90.00
_cell_angle_gamma 90.00
_space_group_name_H-M_alt 'C m c m'
_space_group_IT_number 63
_space_group_name_Hall '-C 2c 2'
loop_
_atom_site_label
_atom_site_type_symbol
_atom_site_fract_x
_atom_site_fract_y
_atom_site_fract_z
Pa1 Pa 0.000 0.225 0.250
Be1 Be 0.000 0.122 0.750
Co1 Co 0.000 0.326 0.750
Co2 Co 0.240 0.000 0.000
B1 B 0.000 0.479 0.250


Entry 3:
# Pa3BeCo9B2 PBE optimized geometry
# Calculated total energy   -7.662 eV per atom
data_Pa3BeCo9B2
_cell_length_a 5.3724
_cell_length_b 5.3724
_cell_length_c 7.6614
_cell_angle_alpha 90.00
_cell_angle_beta 90.00
_cell_angle_gamma 120.00
_space_group_name_H-M_alt 'P -3 m 1'
_space_group_IT_number 164
_space_group_name_Hall '-P 3 2"'
loop_
_atom_site_label
_atom_site_type_symbol
_atom_site_fract_x
_atom_site_fract_y
_atom_site_fract_z
Pa1 Pa 0.0000 0.0000 0.0000
Pa2 Pa 0.3333 0.6667 0.6559
Be1 Be 0.0000 0.0000 0.5000
Co1 Co 0.0000 0.5000 0.0000
Co2 Co 0.1679 0.3357 0.3129
B1 B 0.3333 0.6667 0.1579